(1)
## DyPaAsO6 (PBE)

Data for a geometry-optimized DyPaAsO6 structure.

Cell lengths 5.4550, 5.4550, 9.5399 Å; angles 90.00, 90.00, 120.00 degrees
Space group P-31c (No. 163)
Inequivalent atoms, fractional coordinates:
Dy: 0.3333 0.6667 0.2500
Pa: 0.0000 0.0000 0.0000
As: 0.3333 0.6667 0.7500
O: 0.0365 0.3513 0.6312

Properties
Energy = -8.01 eV per atom
Total magnetic moment = 0.0 μB/f.u.
Crystal system = trigonal
DOS at the Fermi energy = 8.6 states/eV/cell

(2)
## TlCd2Os (PBE)

Data for a geometry-optimized TlCd2Os structure.

Cell lengths 6.802, 6.802, 6.802 Å; angles 90.00, 90.00, 90.00 degrees
Space group F-43m (No. 216)
Inequivalent atoms, fractional coordinates:
Tl: 0.000 0.000 0.000
Cd: 0.000 0.000 0.500
Cd: 0.250 0.250 0.750
Os: 0.250 0.250 0.250

Properties
Calculated formation energy = 0.74 eV per atom
Energy = -3.12 eV per atom
E above lowest polymorph = 258 meV/atom
Total magnetic moment = 0.0 μB/f.u.
Crystal system = cubic
DOS at the Fermi energy = 9.0 states/eV/cell

(3)
## FeGeRu3 (PBE)

Data for a geometry-optimized FeGeRu3 structure.

Cell lengths 4.397, 4.397, 4.397 Å; angles 90.00, 90.00, 90.00 degrees
Space group Pm-3m (No. 221)
Inequivalent atoms, fractional coordinates:
Fe: 0.000 0.000 0.000
Ge: 0.500 0.500 0.500
Ru: 0.000 0.000 0.500

Properties
Calculated formation energy = 1.27 eV per atom
Energy = -6.91 eV per atom
E above lowest polymorph = 0 meV/atom
Total magnetic moment = 0.0 μB/f.u.
Crystal system = cubic
DOS at the Fermi energy = 8.0 states/eV/cell